No. 1
RbPdAu after structural relaxation, computed with GGA-PBE. Values from VASP.

Geometry as Quantum ESPRESSO input:
```
&SYSTEM
  ibrav = 0, nat = 3, ntyp = 3
/
ATOMIC_SPECIES
Au 196.97 Au.upf
Pd 106.42 Pd.upf
Rb 85.47 Rb.upf
CELL_PARAMETERS angstrom
-3.3286 -3.8699 0.5812
-3.7719 -0.6796 -3.4211
0.1353 -4.0086 -3.2103
ATOMIC_POSITIONS crystal
Au 0.2500 0.2500 0.2500
Pd 0.7500 0.7500 0.7500
Rb 0.0000 0.0000 0.0000
```

Summary:
Energy above the lowest structure with this stoichiometry: 1.35 eV/f.u.
Space-group type: F-43m
Total DFT energy (no corrections): -2.410 eV/atom


No. 2
RbPdAu3S4 after structural relaxation, computed with GGA-PBE. Values from VASP.

Geometry as Quantum ESPRESSO input:
```
&SYSTEM
  ibrav = 0, nat = 9, ntyp = 4
/
ATOMIC_SPECIES
Au 196.97 Au.upf
Pd 106.42 Pd.upf
Rb 85.47 Rb.upf
S 32.06 S.upf
CELL_PARAMETERS angstrom
6.2172 0.0000 0.0000
0.0000 6.2172 0.0000
0.0000 0.0000 6.2172
ATOMIC_POSITIONS crystal
Au 0.5000 0.5000 0.0000
Au 0.5000 0.0000 0.5000
Au 0.0000 0.5000 0.5000
Pd 0.5000 0.5000 0.5000
Rb 0.0000 0.0000 0.0000
S 0.2821 0.2821 0.2821
S 0.7179 0.7179 0.2821
S 0.7179 0.2821 0.7179
S 0.2821 0.7179 0.7179
```

Summary:
Space-group type: P-43m
Total DFT energy (no corrections): -3.576 eV/atom


No. 3
RbPdAuS3 after structural relaxation, computed with GGA-PBE. Values from VASP.

Geometry as Quantum ESPRESSO input:
```
&SYSTEM
  ibrav = 0, nat = 12, ntyp = 4
/
ATOMIC_SPECIES
Au 196.97 Au.upf
Pd 106.42 Pd.upf
Rb 85.47 Rb.upf
S 32.06 S.upf
CELL_PARAMETERS angstrom
-0.4645 1.0961 -3.5325
-7.9477 0.9083 -0.6400
0.8777 9.7245 2.9019
ATOMIC_POSITIONS crystal
Au 0.4059 0.1882 0.2500
Au 0.5941 0.8118 0.7500
Pd 0.0000 0.0000 0.0000
Pd 0.0000 0.0000 0.5000
Rb 0.7189 0.5622 0.2500
Rb 0.2811 0.4378 0.7500
S 0.4004 0.1992 0.0219
S 0.0402 0.9195 0.2500
S 0.4004 0.1992 0.4781
S 0.5996 0.8008 0.5219
S 0.9598 0.0805 0.7500
S 0.5996 0.8008 0.9781
```

Summary:
Space-group type: Cmcm
Total DFT energy (no corrections): -3.912 eV/atom


No. 4
RbPdAuSeS2 after structural relaxation, computed with GGA-PBE. Values from VASP.

Geometry as Quantum ESPRESSO input:
```
&SYSTEM
  ibrav = 0, nat = 12, ntyp = 5
/
ATOMIC_SPECIES
Au 196.97 Au.upf
Pd 106.42 Pd.upf
Rb 85.47 Rb.upf
S 32.06 S.upf
Se 78.96 Se.upf
CELL_PARAMETERS angstrom
1.8116 -8.3049 0.0000
1.8116 8.3049 0.0000
0.0000 0.0000 10.3280
ATOMIC_POSITIONS crystal
Au 0.6021 0.3979 0.2500
Au 0.3979 0.6021 0.7500
Pd 0.0000 0.0000 0.0000
Pd 0.0000 0.0000 0.5000
Rb 0.2774 0.7226 0.2500
Rb 0.7226 0.2774 0.7500
S 0.5962 0.4038 0.0247
S 0.5962 0.4038 0.4753
S 0.4038 0.5962 0.5247
S 0.4038 0.5962 0.9753
Se 0.9520 0.0480 0.2500
Se 0.0480 0.9520 0.7500
```

Summary:
Space-group type: Cmcm
Total DFT energy (no corrections): -3.853 eV/atom